Below is crystalline Sm8Y6In at its relaxed geometry, with properties calculated at the PBE-GGA level.

The value obtained for the calculated formation energy is 0.0731 eV per atom. Its symmetry is No. 147.

Cell and atoms, written as POSCAR:
```
Sm8Y6In
1.0
9.356 0.000 0.000
-4.678 8.103 0.000
0.000 0.000 6.528
Sm Y In
8 6 1
direct
0.041 0.771 0.321
0.229 0.270 0.321
0.270 0.041 0.679
0.333 0.667 0.340
0.667 0.333 0.660
0.730 0.959 0.321
0.771 0.730 0.679
0.959 0.229 0.679
0.095 0.650 0.832
0.350 0.446 0.832
0.446 0.095 0.168
0.554 0.905 0.832
0.650 0.554 0.168
0.905 0.350 0.168
0.000 0.000 0.000
```

=====

Below is crystalline CoReSe2 at its relaxed geometry, with properties calculated at the PBE-GGA level.

The calculation puts the excess energy over the best structure of this formula in the dataset at 480 meV per atom. Its uncorrected formation energy is 393.8 meV per atom. Its symmetry is No. 12.

Cell and atoms, written as POSCAR:
```
CoReSe2
1.0
7.772 0.000 0.000
0.000 3.096 0.000
-0.964 0.000 5.148
Co Re Se
2 2 4
direct
0.000 0.000 0.000
0.500 0.500 0.000
0.000 0.500 0.500
0.500 0.000 0.500
0.235 0.000 0.747
0.265 0.500 0.253
0.735 0.500 0.747
0.765 0.000 0.253
```

=====

Below is crystalline TeRhIO2 at its relaxed geometry, with properties calculated at the PBE-GGA level.

The calculation puts the excess energy over the best structure of this formula in the dataset at 0 meV per atom. Its uncorrected formation energy is 35.4 meV per atom. Its symmetry is No. 123.

Cell and atoms, written as POSCAR:
```
TeRhIO2
1.0
3.992 0.000 0.000
0.000 3.992 0.000
0.000 0.000 6.613
Te Rh I O
1 1 1 2
direct
0.000 0.000 0.000
0.500 0.500 0.500
0.000 0.000 0.500
0.000 0.500 0.000
0.500 0.000 0.000
```